A) # GGA-PBE Sb2PbBr, relaxed
# * size of the total moment: 0.000 μB per atom
data_Sb2PbBr
_cell_length_a 13.102
_cell_length_b 3.948
_cell_length_c 5.099
_cell_angle_alpha 90.00
_cell_angle_beta 100.73
_cell_angle_gamma 90.00
_symmetry_space_group_name_H-M 'C 1 2/m 1'
_symmetry_Int_Tables_number 12
_symmetry_space_group_name_Hall '-C 2y'
loop_
_atom_site_label
_atom_site_type_symbol
_atom_site_fract_x
_atom_site_fract_y
_atom_site_fract_z
_atom_site_occupancy
Sb1 Sb 0.224 0.000 0.178 1
Pb1 Pb 0.000 0.500 0.000 1
Br1 Br 0.000 0.000 0.500 1


B) # GGA-PBE Sb2PbBr, relaxed
# * size of the total moment: 0.000 μB per atom
data_Sb2PbBr
_cell_length_a 4.368
_cell_length_b 4.368
_cell_length_c 12.935
_cell_angle_alpha 90.00
_cell_angle_beta 90.00
_cell_angle_gamma 90.00
_symmetry_space_group_name_H-M 'I 4/m m m'
_symmetry_Int_Tables_number 139
_symmetry_space_group_name_Hall '-I 4 2'
loop_
_atom_site_label
_atom_site_type_symbol
_atom_site_fract_x
_atom_site_fract_y
_atom_site_fract_z
_atom_site_occupancy
Sb1 Sb 0.000 0.500 0.250 1
Pb1 Pb 0.000 0.000 0.000 1
Br1 Br 0.000 0.000 0.500 1


C) # GGA-PBE Sb2PbBr, relaxed
# * size of the total moment: 0.000 μB per atom
data_Sb2PbBr
_cell_length_a 3.456
_cell_length_b 3.456
_cell_length_c 9.528
_cell_angle_alpha 90.00
_cell_angle_beta 90.00
_cell_angle_gamma 90.00
_symmetry_space_group_name_H-M 'P 4/m m m'
_symmetry_Int_Tables_number 123
_symmetry_space_group_name_Hall '-P 4 2'
loop_
_atom_site_label
_atom_site_type_symbol
_atom_site_fract_x
_atom_site_fract_y
_atom_site_fract_z
_atom_site_occupancy
Sb1 Sb 0.000 0.000 0.243 1
Pb1 Pb 0.500 0.500 0.500 1
Br1 Br 0.500 0.500 0.000 1


D) # GGA-PBE Sb2PbBr, relaxed
# * size of the total moment: 0.000 μB per atom
data_Sb2PbBr
_cell_length_a 3.923
_cell_length_b 5.952
_cell_length_c 10.394
_cell_angle_alpha 90.00
_cell_angle_beta 90.00
_cell_angle_gamma 90.00
_symmetry_space_group_name_H-M 'C m m 2'
_symmetry_Int_Tables_number 35
_symmetry_space_group_name_Hall 'C 2 -2'
loop_
_atom_site_label
_atom_site_type_symbol
_atom_site_fract_x
_atom_site_fract_y
_atom_site_fract_z
_atom_site_occupancy
Sb1 Sb 0.000 0.000 0.000 1
Sb2 Sb 0.000 0.500 0.210 1
Pb1 Pb 0.000 0.500 0.704 1
Br1 Br 0.000 0.000 0.486 1


Which of them is the most stable? Correct choice: A).


A) # GGA-PBE Sb2PbBr, relaxed
# * size of the total moment: 0.000 μB per atom
data_Sb2PbBr
_cell_length_a 3.947
_cell_length_b 3.947
_cell_length_c 7.741
_cell_angle_alpha 90.00
_cell_angle_beta 90.00
_cell_angle_gamma 90.00
_symmetry_space_group_name_H-M 'P 4/m m m'
_symmetry_Int_Tables_number 123
_symmetry_space_group_name_Hall '-P 4 2'
loop_
_atom_site_label
_atom_site_type_symbol
_atom_site_fract_x
_atom_site_fract_y
_atom_site_fract_z
_atom_site_occupancy
Sb1 Sb 0.000 0.000 0.207 1
Pb1 Pb 0.500 0.500 0.000 1
Br1 Br 0.500 0.500 0.500 1


B) # GGA-PBE Sb2PbBr, relaxed
# * size of the total moment: 0.000 μB per atom
data_Sb2PbBr
_cell_length_a 7.673
_cell_length_b 7.673
_cell_length_c 7.673
_cell_angle_alpha 90.00
_cell_angle_beta 90.00
_cell_angle_gamma 90.00
_symmetry_space_group_name_H-M 'F -4 3 m'
_symmetry_Int_Tables_number 216
_symmetry_space_group_name_Hall 'F -4 2 3'
loop_
_atom_site_label
_atom_site_type_symbol
_atom_site_fract_x
_atom_site_fract_y
_atom_site_fract_z
_atom_site_occupancy
Sb1 Sb 0.000 0.000 0.000 1
Sb2 Sb 0.250 0.250 0.250 1
Pb1 Pb 0.250 0.250 0.750 1
Br1 Br 0.000 0.000 0.500 1


C) # GGA-PBE Sb2PbBr, relaxed
# * size of the total moment: 0.000 μB per atom
data_Sb2PbBr
_cell_length_a 6.043
_cell_length_b 11.812
_cell_length_c 3.359
_cell_angle_alpha 90.00
_cell_angle_beta 90.00
_cell_angle_gamma 90.00
_symmetry_space_group_name_H-M 'C m m m'
_symmetry_Int_Tables_number 65
_symmetry_space_group_name_Hall '-C 2 2'
loop_
_atom_site_label
_atom_site_type_symbol
_atom_site_fract_x
_atom_site_fract_y
_atom_site_fract_z
_atom_site_occupancy
Sb1 Sb 0.250 0.250 0.000 1
Pb1 Pb 0.000 0.000 0.500 1
Br1 Br 0.000 0.500 0.500 1


Which of them is the most stable? Correct choice: B).


A) # GGA-PBE Sb2PbBr8, relaxed
# * size of the total moment: 0.000 μB per atom
data_Sb2PbBr8
_cell_length_a 13.289
_cell_length_b 10.163
_cell_length_c 7.970
_cell_angle_alpha 90.00
_cell_angle_beta 110.81
_cell_angle_gamma 90.00
_symmetry_space_group_name_H-M 'C 1 2/m 1'
_symmetry_Int_Tables_number 12
_symmetry_space_group_name_Hall '-C 2y'
loop_
_atom_site_label
_atom_site_type_symbol
_atom_site_fract_x
_atom_site_fract_y
_atom_site_fract_z
_atom_site_occupancy
Sb1 Sb 0.147 0.000 0.113 1
Pb1 Pb 0.000 0.000 0.500 1
Br1 Br 0.087 0.198 0.286 1
Br2 Br 0.158 0.500 0.683 1
Br3 Br 0.214 0.000 0.810 1


B) # GGA-PBE Sb2PbBr8, relaxed
# * size of the total moment: 0.000 μB per atom
data_Sb2PbBr8
_cell_length_a 14.081
_cell_length_b 7.912
_cell_length_c 9.131
_cell_angle_alpha 90.00
_cell_angle_beta 92.49
_cell_angle_gamma 90.00
_symmetry_space_group_name_H-M 'C 1 2/m 1'
_symmetry_Int_Tables_number 12
_symmetry_space_group_name_Hall '-C 2y'
loop_
_atom_site_label
_atom_site_type_symbol
_atom_site_fract_x
_atom_site_fract_y
_atom_site_fract_z
_atom_site_occupancy
Sb1 Sb 0.140 0.000 0.369 1
Pb1 Pb 0.000 0.000 0.000 1
Br1 Br 0.080 0.000 0.702 1
Br2 Br 0.144 0.241 0.167 1
Br3 Br 0.178 0.500 0.575 1


Which of them is the most stable? Correct choice: B).


A) # GGA-PBE SbPbBr, relaxed
# * size of the total moment: 0.000 μB per atom
data_SbPbBr
_cell_length_a 3.7211
_cell_length_b 3.7211
_cell_length_c 8.0097
_cell_angle_alpha 90.00
_cell_angle_beta 90.00
_cell_angle_gamma 120.00
_symmetry_space_group_name_H-M 'P 3 m 1'
_symmetry_Int_Tables_number 156
_symmetry_space_group_name_Hall 'P 3 -2"'
loop_
_atom_site_label
_atom_site_type_symbol
_atom_site_fract_x
_atom_site_fract_y
_atom_site_fract_z
_atom_site_occupancy
Sb1 Sb 0.0000 0.0000 0.0000 1
Pb1 Pb 0.6667 0.3333 0.6720 1
Br1 Br 0.3333 0.6667 0.4020 1


B) # GGA-PBE SbPbBr, relaxed
# * size of the total moment: 0.000 μB per atom
data_SbPbBr
_cell_length_a 11.394
_cell_length_b 3.408
_cell_length_c 10.520
_cell_angle_alpha 90.00
_cell_angle_beta 100.53
_cell_angle_gamma 90.00
_symmetry_space_group_name_H-M 'C 1 2/m 1'
_symmetry_Int_Tables_number 12
_symmetry_space_group_name_Hall '-C 2y'
loop_
_atom_site_label
_atom_site_type_symbol
_atom_site_fract_x
_atom_site_fract_y
_atom_site_fract_z
_atom_site_occupancy
Sb1 Sb 0.059 0.000 0.145 1
Pb1 Pb 0.128 0.000 0.448 1
Br1 Br 0.160 0.000 0.809 1


Which of them is the most stable? Correct choice: A).


A) # GGA-PBE SbPbBr, relaxed
# * size of the total moment: 0.000 μB per atom
data_SbPbBr
_cell_length_a 3.543
_cell_length_b 3.543
_cell_length_c 16.012
_cell_angle_alpha 90.00
_cell_angle_beta 90.00
_cell_angle_gamma 90.00
_symmetry_space_group_name_H-M 'I 4 m m'
_symmetry_Int_Tables_number 107
_symmetry_space_group_name_Hall 'I 4 -2'
loop_
_atom_site_label
_atom_site_type_symbol
_atom_site_fract_x
_atom_site_fract_y
_atom_site_fract_z
_atom_site_occupancy
Sb1 Sb 0.000 0.000 0.000 1
Pb1 Pb 0.000 0.000 0.654 1
Br1 Br 0.000 0.000 0.274 1


B) # GGA-PBE SbPbBr, relaxed
# * size of the total moment: 0.000 μB per atom
data_SbPbBr
_cell_length_a 5.3509
_cell_length_b 5.3509
_cell_length_c 3.4883
_cell_angle_alpha 90.00
_cell_angle_beta 90.00
_cell_angle_gamma 120.00
_symmetry_space_group_name_H-M 'P 3 m 1'
_symmetry_Int_Tables_number 156
_symmetry_space_group_name_Hall 'P 3 -2"'
loop_
_atom_site_label
_atom_site_type_symbol
_atom_site_fract_x
_atom_site_fract_y
_atom_site_fract_z
_atom_site_occupancy
Sb1 Sb 0.0000 0.0000 0.0000 1
Pb1 Pb 0.6667 0.3333 0.7488 1
Br1 Br 0.3333 0.6667 0.3787 1


Which of them is the most stable? Correct choice: A).


A) # GGA-PBE SbPbBr, relaxed
# * size of the total moment: 0.000 μB per atom
data_SbPbBr
_cell_length_a 7.451
_cell_length_b 7.451
_cell_length_c 7.451
_cell_angle_alpha 90.00
_cell_angle_beta 90.00
_cell_angle_gamma 90.00
_symmetry_space_group_name_H-M 'F -4 3 m'
_symmetry_Int_Tables_number 216
_symmetry_space_group_name_Hall 'F -4 2 3'
loop_
_atom_site_label
_atom_site_type_symbol
_atom_site_fract_x
_atom_site_fract_y
_atom_site_fract_z
_atom_site_occupancy
Sb1 Sb 0.000 0.000 0.000 1
Pb1 Pb 0.250 0.250 0.250 1
Br1 Br 0.000 0.000 0.500 1


B) # GGA-PBE SbPbBr, relaxed
# * size of the total moment: 0.000 μB per atom
data_SbPbBr
_cell_length_a 3.594
_cell_length_b 5.151
_cell_length_c 9.814
_cell_angle_alpha 90.00
_cell_angle_beta 90.00
_cell_angle_gamma 90.00
_symmetry_space_group_name_H-M 'I m m 2'
_symmetry_Int_Tables_number 44
_symmetry_space_group_name_Hall 'I 2 -2'
loop_
_atom_site_label
_atom_site_type_symbol
_atom_site_fract_x
_atom_site_fract_y
_atom_site_fract_z
_atom_site_occupancy
Sb1 Sb 0.000 0.000 0.000 1
Pb1 Pb 0.000 0.000 0.381 1
Br1 Br 0.000 0.000 0.705 1


Which of them is the most stable? Correct choice: B).